Record 1
Crystalline SrPOs2 at its relaxed geometry, computed with PBE-GGA.

Properties
DOS(E_F): 0.606 states/eV/atom
ΔH_f (0 K): 0.483 eV/f.u.

Lattice parameters (Å, degrees): 5.152 3.536 5.232 90.00 100.53 90.00
Space group P2/m (No. 10)
Unique sites:
Sr: 0.000 0.000 0.000 x1
P: 0.500 0.000 0.500 x1
Os: 0.462 0.500 0.762 x2

***

Record 2
Crystalline Sr2POs at its relaxed geometry, computed with PBE-GGA.

Properties
DOS(E_F): 1.033 states/eV/atom
ΔH_f (0 K): 2.037 eV/f.u.

Lattice parameters (Å, degrees): 3.210 5.341 6.151 90.00 90.00 90.00
Space group Pmmm (No. 47)
Unique sites:
Sr: 0.000 0.000 0.000 x1
Sr: 0.500 0.500 0.500 x1
P: 0.000 0.000 0.500 x1
Os: 0.500 0.500 0.000 x1

***

Record 3
Crystalline Sr2POs at its relaxed geometry, computed with PBE-GGA.

Properties
DOS(E_F): 0.416 states/eV/atom
ΔH_f (0 K): -0.829 eV/f.u.

Lattice parameters (Å, degrees): 11.373 3.920 5.171 90.00 116.94 90.00
Space group Cm (No. 8)
Unique sites:
Sr: 0.000 0.000 0.000 x2
Sr: 0.199 0.000 0.698 x2
P: 0.419 0.000 0.419 x2
Os: 0.313 0.500 0.312 x2

***

Record 4
Crystalline Sr3POs at its relaxed geometry, computed with PBE-GGA.

Properties
DOS(E_F): 1.384 states/eV/atom
ΔH_f (0 K): 2.084 eV/f.u.

Lattice parameters (Å, degrees): 5.568 5.568 5.568 90.00 90.00 90.00
Space group Pm-3m (No. 221)
Unique sites:
Sr: 0.000 0.000 0.500 x3
P: 0.500 0.500 0.500 x1
Os: 0.000 0.000 0.000 x1

***

Record 5
Crystalline SrPOs2 at its relaxed geometry, computed with PBE-GGA.

Properties
DOS(E_F): 0.797 states/eV/atom
ΔH_f (0 K): 1.219 eV/f.u.

Lattice parameters (Å, degrees): 10.279 2.935 5.731 90.00 114.93 90.00
Space group C2/m (No. 12)
Unique sites:
Sr: 0.000 0.000 0.000 x2
P: 0.000 0.500 0.500 x2
Os: 0.197 0.000 0.625 x4

***

Record 6
Crystalline Sr2POs at its relaxed geometry, computed with PBE-GGA.

Properties
DOS(E_F): 0.789 states/eV/atom
ΔH_f (0 K): 2.367 eV/f.u.

Lattice parameters (Å, degrees): 8.258 8.258 5.911 90.00 90.00 90.00
Space group I-42d (No. 122)
Unique sites:
Sr: 0.238 0.250 0.125 x8
P: 0.000 0.000 0.000 x4
Os: 0.000 0.000 0.500 x4

***

- Look up the ΔH_f (0 K) of the second one.
  2.037 eV/f.u.

***

- What is the DOS(E_F) in the sixth record?
  0.789 states/eV/atom

***

- The highest DOS(E_F) belongs to which entry?
  Sr3POs